An optimized crystal structure of Re2SeCl. Source: Alexandria, functional PBE-GGA.

Results
Total moment   0.0 μB per formula unit
E_form (uncorrected)   1.19 eV per atom

Unit cell a=6.5993 b=6.5993 c=6.5993 alpha=131.61 beta=131.61 gamma=70.84
Fractional coordinates of all 8 atoms:
Re 0.1001 0.6250 0.9751
Re 0.3750 0.3501 0.4751
Re 0.6499 0.1250 0.0249
Re 0.8750 0.8999 0.5249
Se 0.2500 0.7500 0.5000
Se 0.5000 0.5000 0.0000
Cl 0.0000 0.0000 0.0000
Cl 0.7500 0.2500 0.5000